Entry 1:
PBE SmScCl, relaxed; formation energy (no corrections) = -0.86 eV/atom; DFT total energy = -0.189 Ha/atom; density of states at the Fermi level = 3.9 states/eV/f.u.
1.0
-1.331 -3.210 -0.737
3.442 0.354 0.805
-1.465 -0.923 6.671
Sc Sm Cl
1 1 1
Direct
0.667 0.333 0.366
0.000 0.000 0.989
0.333 0.667 0.645

Entry 2:
PBE MgP, relaxed; ΔE to the lowest computed polymorph = 46.7 meV/atom; formation energy = -0.47 eV/atom; DFT total energy = -0.146 Ha/atom
1.0
-1.201 -2.719 2.807
6.048 -4.145 -1.427
2.894 3.341 2.562
Mg P
4 4
Direct
0.562 0.881 0.942
0.438 0.381 0.058
0.065 0.157 0.442
0.935 0.657 0.558
0.909 0.169 0.904
0.091 0.669 0.096
0.406 0.868 0.404
0.594 0.368 0.596

Entry 3:
PBE TePt2Cl, relaxed; formation energy (no corrections) = -0.24 eV/atom; ΔE to the lowest computed polymorph = 0.0 meV/atom; DFT total energy = -0.166 Ha/atom; density of states at the Fermi level = 1.6 states/eV/f.u.
1.0
3.945 0.001 -0.003
1.973 3.416 -0.003
1.965 1.134 6.877
Cl Pt Te
1 2 1
Direct
0.281 0.281 0.157
0.009 0.009 0.973
0.742 0.742 0.774
0.468 0.468 0.596

Entry 4:
PBE Pr6HIr3, relaxed; DFT total energy = -0.234 Ha/atom; density of states at the Fermi level = 8.4 states/eV/f.u.
1.0
-6.268 2.256 1.884
0.149 -5.562 7.155
3.704 7.637 3.179
Pr H Ir
12 2 6
Direct
0.189 0.694 0.641
0.689 0.641 0.694
0.203 0.437 0.889
0.703 0.889 0.437
0.158 0.043 0.957
0.675 0.224 0.776
0.175 0.776 0.224
0.658 0.957 0.043
0.203 0.111 0.563
0.703 0.563 0.111
0.189 0.359 0.306
0.689 0.306 0.359
0.027 0.202 0.798
0.527 0.798 0.202
0.467 0.939 0.723
0.967 0.723 0.939
0.408 0.393 0.607
0.908 0.607 0.393
0.967 0.061 0.277
0.467 0.277 0.061

Entry 5:
PBE Rb2TaHgF6, relaxed; formation energy (no corrections) = -2.57 eV/atom; DFT total energy = -0.188 Ha/atom; density of states at the Fermi level = 7.5 states/eV/f.u.
1.0
-0.007 3.500 -6.051
5.700 -3.499 -2.031
-0.040 -3.522 -6.075
F Hg Rb Ta
6 1 2 1
Direct
0.298 0.298 0.405
0.702 0.702 0.595
0.299 0.299 0.000
0.701 0.701 0.000
0.701 0.299 0.000
0.299 0.701 0.000
0.000 0.000 0.000
0.750 0.250 0.500
0.250 0.750 0.500
0.500 0.500 0.000

Entry 6:
PBE Ta2Co, relaxed; formation energy = -0.09 eV/atom; DFT total energy = -0.381 Ha/atom; density of states at the Fermi level = 2.1 states/eV/f.u.
1.0
0.806 -4.774 2.465
2.693 -2.870 3.745
-3.687 0.239 5.081
Ta Co
4 2
Direct
0.359 0.359 0.567
0.662 0.662 0.904
0.338 0.338 0.096
0.641 0.641 0.433
0.984 0.984 0.795
0.016 0.016 0.205

Entry 7:
PBE Ga2TeC, relaxed; formation energy (no corrections) = 0.13 eV/atom; ΔE to the lowest computed polymorph = 0.0 meV/atom; DFT total energy = -0.164 Ha/atom; density of states at the Fermi level = 0.0 states/eV/f.u.
1.0
5.538 0.000 0.000
0.000 5.538 0.000
2.769 2.769 5.112
C Te Ga
2 2 4
Direct
0.500 0.500 0.000
0.250 0.750 0.500
0.000 0.000 0.000
0.750 0.250 0.500
0.511 0.125 0.250
0.239 0.625 0.250
0.375 0.489 0.750
0.875 0.761 0.750

Entry 8:
PBE GaFe2NiN, relaxed; formation energy (no corrections) = -0.16 eV/atom; DFT total energy = -0.256 Ha/atom; density of states at the Fermi level = 3.7 states/eV/f.u.
1.0
-3.303 0.042 1.846
1.471 -2.226 2.683
1.127 3.091 1.946
Ni Fe Ga N
1 2 1 1
Direct
0.000 0.000 0.500
0.000 0.500 0.000
0.500 0.000 0.000
0.500 0.500 0.500
0.000 0.000 0.000

Entry 9:
PBE TiCuHg2H, relaxed; DFT total energy = -0.098 Ha/atom; density of states at the Fermi level = 3.3 states/eV/f.u.
1.0
5.399 0.000 0.000
0.000 3.348 0.000
0.000 0.000 5.399
H Hg Cu Ti
1 2 1 1
Direct
0.000 0.500 0.000
0.000 0.000 0.500
0.500 0.000 0.000
0.500 0.500 0.500
0.000 0.000 0.000

Entry 10:
PBE Tb4ScAu5, relaxed; formation energy = -0.84 eV/atom; DFT total energy = -0.182 Ha/atom; density of states at the Fermi level = 4.2 states/eV/f.u.
1.0
3.545 0.000 0.000
0.000 3.545 0.000
0.000 0.000 18.146
Tb Sc Au
4 1 5
Direct
0.000 0.000 0.193
0.000 0.000 0.398
0.000 0.000 0.602
0.000 0.000 0.807
0.000 0.000 0.000
0.500 0.500 0.088
0.500 0.500 0.296
0.500 0.500 0.500
0.500 0.500 0.704
0.500 0.500 0.912

Entry 11:
PBE GaHS2, relaxed; ΔE to the lowest computed polymorph = 155.4 meV/atom; DFT total energy = -0.146 Ha/atom; density of states at the Fermi level = 0.0 states/eV/f.u.
1.0
5.628 1.195 2.429
5.678 -2.262 1.285
6.131 0.452 -1.100
H S Ga
1 2 1
Direct
0.000 0.000 0.000
0.907 0.907 0.907
0.093 0.093 0.093
0.500 0.500 0.500

Entry 12:
PBE Pm3SmAu, relaxed; formation energy = -0.20 eV/atom; DFT total energy = -0.171 Ha/atom; density of states at the Fermi level = 6.6 states/eV/f.u.
1.0
7.338 -0.091 -0.398
-2.095 7.033 0.398
-3.226 -3.014 6.596
Pm Sm Au
6 2 2
Direct
0.825 0.992 0.217
0.225 0.391 0.217
0.775 0.609 0.783
0.736 0.457 0.192
0.175 0.008 0.783
0.264 0.543 0.808
0.693 0.079 0.772
0.307 0.921 0.228
0.660 0.772 0.432
0.340 0.228 0.568

Entry 13:
PBE Pu2AgPt, relaxed; formation energy = -0.30 eV/atom; DFT total energy = -0.356 Ha/atom; density of states at the Fermi level = 15.5 states/eV/f.u.
1.0
-2.747 0.264 1.202
0.800 -4.584 2.836
2.079 2.907 4.113
Ag Pt Pu
1 1 2
Direct
0.500 0.500 0.500
0.500 0.000 0.000
0.000 0.000 0.500
0.000 0.500 0.000

Entry 14:
PBE PmSm2In, relaxed; ΔE to the lowest computed polymorph = 146.8 meV/atom; formation energy = -0.12 eV/atom; DFT total energy = -0.160 Ha/atom; density of states at the Fermi level = 5.6 states/eV/f.u.
1.0
5.560 0.000 0.000
2.780 4.815 0.000
2.780 1.605 4.540
In Sm Pm
1 2 1
Direct
0.000 0.000 0.000
0.250 0.250 0.250
0.750 0.750 0.750
0.500 0.500 0.500

Entry 15:
PBE CoCuTeI2, relaxed; formation energy (no corrections) = 0.63 eV/atom; ΔE to the lowest computed polymorph = 0.0 meV/atom; DFT total energy = -0.105 Ha/atom; density of states at the Fermi level = 4.5 states/eV/f.u.
1.0
5.452 0.000 0.000
0.000 5.452 0.000
0.000 0.000 4.779
I Te Co Cu
2 1 1 1
Direct
0.000 0.500 0.000
0.500 0.000 0.000
0.000 0.000 0.500
0.000 0.000 0.000
0.500 0.500 0.500

Entry 16:
PBE Tl2CrMo, relaxed; ΔE to the lowest computed polymorph = 112.9 meV/atom; formation energy = 0.61 eV/atom; DFT total energy = -0.209 Ha/atom; density of states at the Fermi level = 3.1 states/eV/f.u.
1.0
3.060 -0.033 0.000
-1.334 2.755 0.000
0.000 0.000 10.070
Cr Mo Tl
1 1 2
Direct
0.000 0.000 0.539
0.500 0.500 0.703
0.000 0.000 0.971
0.500 0.500 0.287

Entry 17:
PBE SrAsN, relaxed; formation energy (no corrections) = -0.52 eV/atom; ΔE to the lowest computed polymorph = 0.0 meV/atom; DFT total energy = -0.199 Ha/atom; density of states at the Fermi level = 1.7 states/eV/f.u.
1.0
4.315 0.000 0.000
-2.157 4.003 -0.061
0.000 -2.318 7.521
Sr As N
2 2 2
Direct
0.090 0.180 0.798
0.910 0.820 0.202
0.340 0.679 0.480
0.660 0.321 0.520
0.581 0.163 0.036
0.419 0.837 0.964

Entry 18:
PBE LuThZnIn, relaxed; formation energy = -0.26 eV/atom; DFT total energy = -0.156 Ha/atom; density of states at the Fermi level = 1.3 states/eV/f.u.
1.0
5.236 0.000 0.000
2.618 4.535 0.000
2.618 1.512 4.276
Zn Lu Th In
1 1 1 1
Direct
0.250 0.250 0.250
0.500 0.500 0.500
0.000 0.000 0.000
0.750 0.750 0.750

Entry 19:
PBE Ba3As5S12, relaxed; formation energy (no corrections) = -0.62 eV/atom; DFT total energy = -0.167 Ha/atom; density of states at the Fermi level = 6.6 states/eV/f.u.
1.0
14.004 0.000 0.000
-4.668 13.203 0.000
-4.668 -6.602 11.435
Ba As S
12 20 48
Direct
0.750 0.375 0.125
0.875 0.750 0.125
0.375 0.750 0.625
0.250 0.125 0.375
0.875 0.125 0.250
0.375 0.625 0.250
0.625 0.375 0.750
0.125 0.875 0.750
0.750 0.875 0.625
0.625 0.250 0.375
0.125 0.250 0.875
0.250 0.625 0.875
0.125 0.375 0.250
0.000 0.500 0.000
0.000 0.000 0.000
0.375 0.250 0.125
0.500 0.000 0.500
0.500 0.500 0.000
0.125 0.750 0.375
0.750 0.125 0.875
0.750 0.625 0.375
0.375 0.125 0.750
0.625 0.875 0.250
0.500 0.500 0.500
0.500 0.000 0.000
0.000 0.000 0.500
0.250 0.375 0.625
0.250 0.875 0.125
0.000 0.500 0.500
0.875 0.250 0.625
0.625 0.750 0.875
0.875 0.625 0.750
0.696 0.112 0.013
0.317 0.513 0.401
0.987 0.388 0.304
0.513 0.196 0.112
0.584 0.696 0.683
0.987 0.599 0.183
0.317 0.804 0.416
0.099 0.916 0.112
0.599 0.987 0.683
0.696 0.584 0.183
0.804 0.487 0.388
0.817 0.901 0.013
0.112 0.696 0.513
0.388 0.401 0.084
0.084 0.901 0.388
0.416 0.112 0.599
0.084 0.183 0.196
0.487 0.683 0.099
0.817 0.916 0.304
0.112 0.416 0.099
0.388 0.987 0.804
0.599 0.612 0.416
0.901 0.817 0.513
0.804 0.317 0.916
0.401 0.388 0.584
0.099 0.183 0.487
0.196 0.683 0.084
0.183 0.084 0.696
0.612 0.013 0.196
0.888 0.584 0.901
0.513 0.317 0.901
0.584 0.888 0.401
0.916 0.817 0.804
0.916 0.099 0.612
0.888 0.304 0.487
0.183 0.099 0.987
0.612 0.599 0.916
0.401 0.013 0.317
0.304 0.416 0.817
0.196 0.513 0.612
0.901 0.084 0.888
0.683 0.196 0.584
0.487 0.804 0.888
0.013 0.401 0.817
0.416 0.304 0.317
0.013 0.612 0.696
0.683 0.487 0.599
0.304 0.888 0.987

Entry 20:
PBE Ta2Au2O, relaxed; formation energy (no corrections) = -0.69 eV/atom; ΔE to the lowest computed polymorph = 0.0 meV/atom; DFT total energy = -0.284 Ha/atom; density of states at the Fermi level = 2.8 states/eV/f.u.
1.0
-1.616 -4.523 -3.154
4.108 1.205 -3.833
3.158 -2.861 2.485
Au O Ta
4 2 4
Direct
0.167 0.667 0.500
0.667 0.833 0.500
0.833 0.333 0.500
0.333 0.167 0.500
0.000 0.000 0.000
0.500 0.500 0.000
0.327 0.827 0.000
0.827 0.673 0.000
0.673 0.173 0.000
0.173 0.327 0.000